Record 1
# KGa3B, optimized geometry, DFT PBE
data_KGa3B
_chemical_formula_sum 'K1 Ga3 B1'
_cell_length_a 4.685
_cell_length_b 4.685
_cell_length_c 4.685
_cell_angle_alpha 90.00
_cell_angle_beta 90.00
_cell_angle_gamma 90.00
_symmetry_space_group_name_H-M 'P m -3 m'
_symmetry_Int_Tables_number 221
_symmetry_space_group_name_Hall '-P 4 2 3'
loop_
_atom_site_label
_atom_site_fract_x
_atom_site_fract_y
_atom_site_fract_z
K1 0.000 0.000 0.000
Ga1 0.000 0.500 0.500
B1 0.500 0.500 0.500
# **DFT total energy**: -14.4 eV/cell
# **Energy relative to the lowest polymorph listed for this composition**: 0 meV per atom
# **Formation energy**: 0.49 eV/atom

Record 2
# K3GaB, optimized geometry, DFT PBE
data_K3GaB
_chemical_formula_sum 'K3 Ga1 B1'
_cell_length_a 6.031
_cell_length_b 6.031
_cell_length_c 6.031
_cell_angle_alpha 90.00
_cell_angle_beta 90.00
_cell_angle_gamma 90.00
_symmetry_space_group_name_H-M 'P m -3 m'
_symmetry_Int_Tables_number 221
_symmetry_space_group_name_Hall '-P 4 2 3'
loop_
_atom_site_label
_atom_site_fract_x
_atom_site_fract_y
_atom_site_fract_z
K1 0.000 0.000 0.500
Ga1 0.500 0.500 0.500
B1 0.000 0.000 0.000
# **DFT total energy**: -8.5 eV/cell
# **Energy relative to the lowest polymorph listed for this composition**: 0 meV per atom
# **Formation energy**: 0.89 eV/atom

Record 3
# KMg2GaB, optimized geometry, DFT PBE
data_KMg2GaB
_chemical_formula_sum 'K1 Mg2 Ga1 B1'
_cell_length_a 4.716
_cell_length_b 4.716
_cell_length_c 5.030
_cell_angle_alpha 90.00
_cell_angle_beta 90.00
_cell_angle_gamma 90.00
_symmetry_space_group_name_H-M 'P 4/m m m'
_symmetry_Int_Tables_number 123
_symmetry_space_group_name_Hall '-P 4 2'
loop_
_atom_site_label
_atom_site_fract_x
_atom_site_fract_y
_atom_site_fract_z
K1 0.000 0.000 0.000
Mg1 0.000 0.500 0.500
Ga1 0.500 0.500 0.000
B1 0.500 0.500 0.500
# **DFT total energy**: -11.9 eV/cell
# **Formation energy**: 0.42 eV/atom

Record 4
# KNb2GaB, optimized geometry, DFT PBE
data_KNb2GaB
_chemical_formula_sum 'K1 Nb2 Ga1 B1'
_cell_length_a 4.425
_cell_length_b 4.425
_cell_length_c 5.284
_cell_angle_alpha 90.00
_cell_angle_beta 90.00
_cell_angle_gamma 90.00
_symmetry_space_group_name_H-M 'P 4/m m m'
_symmetry_Int_Tables_number 123
_symmetry_space_group_name_Hall '-P 4 2'
loop_
_atom_site_label
_atom_site_fract_x
_atom_site_fract_y
_atom_site_fract_z
K1 0.000 0.000 0.000
Nb1 0.000 0.500 0.500
Ga1 0.500 0.500 0.000
B1 0.000 0.000 0.500
# **DFT total energy**: -26.7 eV/cell
# **Formation energy**: 0.85 eV/atom

Record 5
# K2GaB2O6, optimized geometry, DFT PBE
data_K2GaB2O6
_chemical_formula_sum 'K4 Ga2 B4 O12'
_cell_length_a 8.955
_cell_length_b 5.169
_cell_length_c 6.647
_cell_angle_alpha 90.00
_cell_angle_beta 116.61
_cell_angle_gamma 90.00
_symmetry_space_group_name_H-M 'C 1 2/m 1'
_symmetry_Int_Tables_number 12
_symmetry_space_group_name_Hall '-C 2y'
loop_
_atom_site_label
_atom_site_fract_x
_atom_site_fract_y
_atom_site_fract_z
K1 0.206 0.000 0.119
Ga1 0.000 0.000 0.500
B1 0.102 0.500 0.308
O1 0.021 0.269 0.297
O2 0.247 0.000 0.702
# **DFT total energy**: -140.4 eV/cell
# **Raw formation energy**: -1988 meV per atom

Record 6
# KGaBO4, optimized geometry, DFT PBE
data_KGaBO4
_chemical_formula_sum 'K4 Ga4 B4 O16'
_cell_length_a 7.575
_cell_length_b 7.575
_cell_length_c 7.575
_cell_angle_alpha 90.00
_cell_angle_beta 90.00
_cell_angle_gamma 90.00
_symmetry_space_group_name_H-M 'F -4 3 m'
_symmetry_Int_Tables_number 216
_symmetry_space_group_name_Hall 'F -4 2 3'
loop_
_atom_site_label
_atom_site_fract_x
_atom_site_fract_y
_atom_site_fract_z
K1 0.000 0.000 0.000
Ga1 0.250 0.250 0.250
B1 0.000 0.000 0.500
O1 0.112 0.112 0.388
# **DFT total energy**: -170.0 eV/cell
# **Raw formation energy**: -1695 meV per atom

Record 7
# K3GaB2O6, optimized geometry, DFT PBE
data_K3GaB2O6
_chemical_formula_sum 'K3 Ga1 B2 O6'
_cell_length_a 5.2838
_cell_length_b 5.2838
_cell_length_c 6.7128
_cell_angle_alpha 90.00
_cell_angle_beta 90.00
_cell_angle_gamma 120.00
_symmetry_space_group_name_H-M 'P -3 m 1'
_symmetry_Int_Tables_number 164
_symmetry_space_group_name_Hall '-P 3 2"'
loop_
_atom_site_label
_atom_site_fract_x
_atom_site_fract_y
_atom_site_fract_z
K1 0.0000 0.0000 0.0000
K2 0.3333 0.6667 0.7496
Ga1 0.0000 0.0000 0.5000
B1 0.3333 0.6667 0.3249
O1 0.1806 0.3613 0.3183
# **DFT total energy**: -73.6 eV/cell
# **Raw formation energy**: -2015 meV per atom

Record 8
# KGa2B2O6, optimized geometry, DFT PBE
data_KGa2B2O6
_chemical_formula_sum 'K1 Ga2 B2 O6'
_cell_length_a 4.891
_cell_length_b 5.236
_cell_length_c 7.032
_cell_angle_alpha 69.37
_cell_angle_beta 71.06
_cell_angle_gamma 83.60
_symmetry_space_group_name_H-M 'P -1'
_symmetry_Int_Tables_number 2
_symmetry_space_group_name_Hall '-P 1'
loop_
_atom_site_label
_atom_site_fract_x
_atom_site_fract_y
_atom_site_fract_z
K1 0.000 0.000 0.000
Ga1 0.249 0.660 0.502
B1 0.375 0.216 0.306
O1 0.166 0.408 0.361
O2 0.289 0.993 0.278
O3 0.341 0.744 0.719
# **DFT total energy**: -72.0 eV/cell
# **Raw formation energy**: -1975 meV per atom

Record 9
# K2GaBO4, optimized geometry, DFT PBE
data_K2GaBO4
_chemical_formula_sum 'K16 Ga8 B8 O32'
_cell_length_a 4.643
_cell_length_b 11.127
_cell_length_c 20.384
_cell_angle_alpha 90.00
_cell_angle_beta 90.00
_cell_angle_gamma 90.00
_symmetry_space_group_name_H-M 'F d d d'
_symmetry_Int_Tables_number 70
loop_
_symmetry_equiv_pos_as_xyz
'x,y,z'
'-x,-y,-z'
'-x+1/4,-y+1/4,z'
'x+1/4,y+1/4,-z'
'x,-y+1/4,-z+1/4'
'-x,y+1/4,z+1/4'
'-x+1/4,y,-z+1/4'
'x+1/4,-y,z+1/4'
'x,y+1/2,z+1/2'
'-x,-y+1/2,-z+1/2'
'-x+1/4,-y+3/4,z+1/2'
'x+1/4,y+3/4,-z+1/2'
'x,-y+3/4,-z+3/4'
'-x,y+3/4,z+3/4'
'-x+1/4,y+1/2,-z+3/4'
'x+1/4,-y+1/2,z+3/4'
'x+1/2,y,z+1/2'
'-x+1/2,-y,-z+1/2'
'-x+3/4,-y+1/4,z+1/2'
'x+3/4,y+1/4,-z+1/2'
'x+1/2,-y+1/4,-z+3/4'
'-x+1/2,y+1/4,z+3/4'
'-x+3/4,y,-z+3/4'
'x+3/4,-y,z+3/4'
'x+1/2,y+1/2,z'
'-x+1/2,-y+1/2,-z'
'-x+3/4,-y+3/4,z'
'x+3/4,y+3/4,-z'
'x+1/2,-y+3/4,-z+1/4'
'-x+1/2,y+3/4,z+1/4'
'-x+3/4,y+1/2,-z+1/4'
'x+3/4,-y+1/2,z+1/4'
loop_
_atom_site_label
_atom_site_fract_x
_atom_site_fract_y
_atom_site_fract_z
K1 0.125 0.125 0.301
Ga1 0.125 0.125 0.125
B1 0.125 0.125 0.625
O1 0.073 0.296 0.834
# **DFT total energy**: -373.8 eV/cell
# **Raw formation energy**: -1874 meV per atom

Record 10
# K2GaSnB, optimized geometry, DFT PBE
data_K2GaSnB
_chemical_formula_sum 'K2 Ga1 Sn1 B1'
_cell_length_a 6.677
_cell_length_b 6.677
_cell_length_c 3.782
_cell_angle_alpha 90.00
_cell_angle_beta 90.00
_cell_angle_gamma 90.00
_symmetry_space_group_name_H-M 'P 4/m m m'
_symmetry_Int_Tables_number 123
_symmetry_space_group_name_Hall '-P 4 2'
loop_
_atom_site_label
_atom_site_fract_x
_atom_site_fract_y
_atom_site_fract_z
K1 0.000 0.500 0.000
Ga1 0.000 0.000 0.000
Sn1 0.500 0.500 0.500
B1 0.000 0.000 0.500
# **DFT total energy**: -13.5 eV/cell
# **Formation energy**: 0.48 eV/atom

Record 11
# KTiGa2B, optimized geometry, DFT PBE
data_KTiGa2B
_chemical_formula_sum 'K1 Ti1 Ga2 B1'
_cell_length_a 4.620
_cell_length_b 4.620
_cell_length_c 4.493
_cell_angle_alpha 90.00
_cell_angle_beta 90.00
_cell_angle_gamma 90.00
_symmetry_space_group_name_H-M 'P 4/m m m'
_symmetry_Int_Tables_number 123
_symmetry_space_group_name_Hall '-P 4 2'
loop_
_atom_site_label
_atom_site_fract_x
_atom_site_fract_y
_atom_site_fract_z
K1 0.000 0.000 0.000
Ti1 0.500 0.500 0.000
Ga1 0.000 0.500 0.500
B1 0.500 0.500 0.500
# **DFT total energy**: -19.2 eV/cell
# **Formation energy**: 0.50 eV/atom

Record 12
# LaGaB2, optimized geometry, DFT PBE
data_LaGaB2
_chemical_formula_sum 'La4 Ga4 B8'
_cell_length_a 4.353
_cell_length_b 4.353
_cell_length_c 14.153
_cell_angle_alpha 90.00
_cell_angle_beta 90.00
_cell_angle_gamma 90.00
_symmetry_space_group_name_H-M 'I 41/a m d'
_symmetry_Int_Tables_number 141
loop_
_symmetry_equiv_pos_as_xyz
'x,y,z'
'-x,-y,-z'
'-y+1/4,x+3/4,z+1/4'
'y+1/4,-x+3/4,-z+1/4'
'-x+1/2,-y,z+1/2'
'x+1/2,y,-z+1/2'
'y+1/4,-x+1/4,z+3/4'
'-y+1/4,x+1/4,-z+3/4'
'x,-y,-z'
'-x,y,z'
'-y+1/4,-x+1/4,-z+3/4'
'y+1/4,x+1/4,z+3/4'
'-x+1/2,y,-z+1/2'
'x+1/2,-y,z+1/2'
'y+1/4,x+3/4,-z+1/4'
'-y+1/4,-x+3/4,z+1/4'
'x+1/2,y+1/2,z+1/2'
'-x+1/2,-y+1/2,-z+1/2'
'-y+3/4,x+1/4,z+3/4'
'y+3/4,-x+1/4,-z+3/4'
'-x,-y+1/2,z'
'x,y+1/2,-z'
'y+3/4,-x+3/4,z+1/4'
'-y+3/4,x+3/4,-z+1/4'
'x+1/2,-y+1/2,-z+1/2'
'-x+1/2,y+1/2,z+1/2'
'-y+3/4,-x+3/4,-z+1/4'
'y+3/4,x+3/4,z+1/4'
'-x,y+1/2,-z'
'x,-y+1/2,z'
'y+3/4,x+1/4,-z+3/4'
'-y+3/4,-x+1/4,z+3/4'
loop_
_atom_site_label
_atom_site_fract_x
_atom_site_fract_y
_atom_site_fract_z
La1 0.000 0.250 0.375
Ga1 0.000 0.250 0.875
B1 0.000 0.000 0.000
# **DFT total energy**: -82.1 eV/cell
# **Formation energy**: 0.20 eV/atom

Record 13
# LaGa3B, optimized geometry, DFT PBE
data_LaGa3B
_chemical_formula_sum 'La1 Ga3 B1'
_cell_length_a 5.734
_cell_length_b 5.734
_cell_length_c 5.734
_cell_angle_alpha 90.00
_cell_angle_beta 90.00
_cell_angle_gamma 90.00
_symmetry_space_group_name_H-M 'P m -3 m'
_symmetry_Int_Tables_number 221
_symmetry_space_group_name_Hall '-P 4 2 3'
loop_
_atom_site_label
_atom_site_fract_x
_atom_site_fract_y
_atom_site_fract_z
La1 0.000 0.000 0.000
Ga1 0.000 0.000 0.500
B1 0.500 0.500 0.500
# **DFT total energy**: -12.2 eV/cell
# **Energy relative to the lowest polymorph listed for this composition**: 1605 meV per atom
# **Formation energy**: 1.69 eV/atom

Record 14
# LaGa3B, optimized geometry, DFT PBE
data_LaGa3B
_chemical_formula_sum 'La1 Ga3 B1'
_cell_length_a 4.621
_cell_length_b 4.621
_cell_length_c 4.621
_cell_angle_alpha 90.00
_cell_angle_beta 90.00
_cell_angle_gamma 90.00
_symmetry_space_group_name_H-M 'P m -3 m'
_symmetry_Int_Tables_number 221
_symmetry_space_group_name_Hall '-P 4 2 3'
loop_
_atom_site_label
_atom_site_fract_x
_atom_site_fract_y
_atom_site_fract_z
La1 0.000 0.000 0.000
Ga1 0.000 0.500 0.500
B1 0.500 0.500 0.500
# **DFT total energy**: -20.3 eV/cell
# **Energy relative to the lowest polymorph listed for this composition**: 0 meV per atom
# **Formation energy**: 0.08 eV/atom

Record 15
# NaLa2GaB, optimized geometry, DFT PBE
data_NaLa2GaB
_chemical_formula_sum 'Na1 La2 Ga1 B1'
_cell_length_a 5.621
_cell_length_b 5.621
_cell_length_c 4.293
_cell_angle_alpha 90.00
_cell_angle_beta 90.00
_cell_angle_gamma 90.00
_symmetry_space_group_name_H-M 'P 4/m m m'
_symmetry_Int_Tables_number 123
_symmetry_space_group_name_Hall '-P 4 2'
loop_
_atom_site_label
_atom_site_fract_x
_atom_site_fract_y
_atom_site_fract_z
Na1 0.000 0.000 0.000
La1 0.000 0.500 0.000
Ga1 0.500 0.500 0.500
B1 0.000 0.000 0.500
# **DFT total energy**: -16.1 eV/cell
# **Formation energy**: 0.97 eV/atom

Record 16
# La2GaNi12B3, optimized geometry, DFT PBE
data_La2GaNi12B3
_chemical_formula_sum 'La6 Ga3 Ni36 B9'
_cell_length_a 7.3567
_cell_length_b 7.3567
_cell_length_c 15.7240
_cell_angle_alpha 90.00
_cell_angle_beta 90.00
_cell_angle_gamma 120.00
_symmetry_space_group_name_H-M 'R -3 m'
_symmetry_Int_Tables_number 166
_symmetry_space_group_name_Hall '-R 3 2"'
loop_
_atom_site_label
_atom_site_fract_x
_atom_site_fract_y
_atom_site_fract_z
La1 0.0000 0.0000 0.1053
Ga1 0.0000 0.0000 0.5000
Ni1 0.0143 0.5072 0.8794
Ni2 0.0736 0.5368 0.3177
B1 0.0000 0.5000 0.0000
# **DFT total energy**: -312.2 eV/cell
# **Formation energy**: -0.10 eV/atom

Record 17
# LaGaBPd6, optimized geometry, DFT PBE
data_LaGaBPd6
_chemical_formula_sum 'La4 Ga4 B4 Pd24'
_cell_length_a 6.550
_cell_length_b 8.664
_cell_length_c 11.252
_cell_angle_alpha 90.00
_cell_angle_beta 90.00
_cell_angle_gamma 90.00
_symmetry_space_group_name_H-M 'I m m a'
_symmetry_Int_Tables_number 74
_symmetry_space_group_name_Hall '-I 2b 2'
loop_
_atom_site_label
_atom_site_fract_x
_atom_site_fract_y
_atom_site_fract_z
La1 0.000 0.250 0.178
Ga1 0.250 0.250 0.750
B1 0.000 0.000 0.500
Pd1 0.000 0.250 0.461
Pd2 0.000 0.250 0.920
Pd3 0.231 0.010 0.625
# **DFT total energy**: -198.2 eV/cell
# **Formation energy**: -0.42 eV/atom

Record 18
# La2GaBPd6, optimized geometry, DFT PBE
data_La2GaBPd6
_chemical_formula_sum 'La4 Ga2 B2 Pd12'
_cell_length_a 5.801
_cell_length_b 8.813
_cell_length_c 7.359
_cell_angle_alpha 90.00
_cell_angle_beta 90.00
_cell_angle_gamma 90.00
_symmetry_space_group_name_H-M 'P m m n'
_symmetry_Int_Tables_number 59
loop_
_symmetry_equiv_pos_as_xyz
'x,y,z'
'-x,-y,-z'
'-x+1/2,-y+1/2,z'
'x+1/2,y+1/2,-z'
'x+1/2,-y,-z'
'-x+1/2,y,z'
'-x,y+1/2,-z'
'x,-y+1/2,z'
loop_
_atom_site_label
_atom_site_fract_x
_atom_site_fract_y
_atom_site_fract_z
La1 0.250 0.030 0.218
Ga1 0.250 0.750 0.821
B1 0.250 0.250 0.686
Pd1 0.006 0.250 0.898
Pd2 0.013 0.750 0.512
Pd3 0.250 0.009 0.653
# **DFT total energy**: -116.1 eV/cell
# **Formation energy**: -0.73 eV/atom

Record 19
# La2GaB3Pt12, optimized geometry, DFT PBE
data_La2GaB3Pt12
_chemical_formula_sum 'La6 Ga3 B9 Pt36'
_cell_length_a 7.9303
_cell_length_b 7.9303
_cell_length_c 17.8143
_cell_angle_alpha 90.00
_cell_angle_beta 90.00
_cell_angle_gamma 120.00
_symmetry_space_group_name_H-M 'R -3 m'
_symmetry_Int_Tables_number 166
_symmetry_space_group_name_Hall '-R 3 2"'
loop_
_atom_site_label
_atom_site_fract_x
_atom_site_fract_y
_atom_site_fract_z
La1 0.0000 0.0000 0.1086
Ga1 0.0000 0.0000 0.5000
B1 0.0000 0.5000 0.0000
Pt1 0.0023 0.5011 0.1192
Pt2 0.0581 0.5290 0.3550
# **DFT total energy**: -344.6 eV/cell
# **Formation energy**: -0.53 eV/atom

Record 20
# La3GaB2Pt9, optimized geometry, DFT PBE
data_La3GaB2Pt9
_chemical_formula_sum 'La3 Ga1 B2 Pt9'
_cell_length_a 5.8514
_cell_length_b 5.8514
_cell_length_c 9.3502
_cell_angle_alpha 90.00
_cell_angle_beta 90.00
_cell_angle_gamma 120.00
_symmetry_space_group_name_H-M 'P -3 m 1'
_symmetry_Int_Tables_number 164
_symmetry_space_group_name_Hall '-P 3 2"'
loop_
_atom_site_label
_atom_site_fract_x
_atom_site_fract_y
_atom_site_fract_z
La1 0.0000 0.0000 0.0000
La2 0.3333 0.6667 0.6182
Ga1 0.0000 0.0000 0.5000
B1 0.3333 0.6667 0.1497
Pt1 0.0000 0.5000 0.0000
Pt2 0.1657 0.3315 0.2886
# **DFT total energy**: -98.3 eV/cell
# **Formation energy**: -0.85 eV/atom

Record 21
# La2GaReB, optimized geometry, DFT PBE
data_La2GaReB
_chemical_formula_sum 'La2 Ga1 Re1 B1'
_cell_length_a 5.751
_cell_length_b 5.751
_cell_length_c 3.676
_cell_angle_alpha 90.00
_cell_angle_beta 90.00
_cell_angle_gamma 90.00
_symmetry_space_group_name_H-M 'P 4/m m m'
_symmetry_Int_Tables_number 123
_symmetry_space_group_name_Hall '-P 4 2'
loop_
_atom_site_label
_atom_site_fract_x
_atom_site_fract_y
_atom_site_fract_z
La1 0.000 0.500 0.000
Ga1 0.000 0.000 0.000
Re1 0.500 0.500 0.500
B1 0.000 0.000 0.500
# **DFT total energy**: -27.6 eV/cell
# **Formation energy**: 0.87 eV/atom

Record 22
# LaGaBRh3, optimized geometry, DFT PBE
data_LaGaBRh3
_chemical_formula_sum 'La4 Ga4 B4 Rh12'
_cell_length_a 5.818
_cell_length_b 12.318
_cell_length_c 5.818
_cell_angle_alpha 90.00
_cell_angle_beta 90.00
_cell_angle_gamma 90.00
_symmetry_space_group_name_H-M 'C m c m'
_symmetry_Int_Tables_number 63
_symmetry_space_group_name_Hall '-C 2c 2'
loop_
_atom_site_label
_atom_site_fract_x
_atom_site_fract_y
_atom_site_fract_z
La1 0.000 0.250 0.250
Ga1 0.000 0.119 0.750
B1 0.000 0.486 0.750
Rh1 0.000 0.316 0.750
Rh2 0.247 0.500 0.000
# **DFT total energy**: -163.0 eV/cell
# **Formation energy**: -0.68 eV/atom